## YZr6P9O36 (meta-GGA SCAN)

Data for a crystal of YZr6P9O36 relaxed with PBEsol.

Symmetry: P-3c1 (165)
Raw formation energy (eV/atom): -3.075

abc: 8.887 8.887 22.469
angles: 90.00 90.00 120.00
Positions (direct):
P 0.000 0.709 0.750
P 0.055 0.680 0.422
P 0.945 0.625 0.078
P 0.680 0.625 0.578
P 0.375 0.320 0.078
P 0.320 0.375 0.422
P 0.291 0.000 0.250
P 0.709 0.709 0.250
P 0.945 0.320 0.578
P 0.625 0.945 0.422
P 0.320 0.945 0.922
P 0.375 0.055 0.578
P 0.625 0.680 0.922
P 0.000 0.291 0.250
P 0.680 0.055 0.078
P 0.291 0.291 0.750
P 0.709 0.000 0.750
P 0.055 0.375 0.922
O 0.516 0.876 0.079
O 0.468 0.308 0.741
O 0.640 0.516 0.921
O 0.124 0.640 0.079
O 0.202 0.174 0.805
O 0.184 0.157 0.077
O 0.184 0.027 0.577
O 0.690 0.534 0.634
O 0.536 0.693 0.978
O 0.973 0.816 0.077
O 0.157 0.184 0.423
O 0.029 0.826 0.695
O 0.536 0.843 0.478
O 0.360 0.484 0.079
O 0.157 0.973 0.923
O 0.816 0.843 0.923
O 0.464 0.307 0.022
O 0.156 0.466 0.866
O 0.484 0.124 0.921
O 0.124 0.484 0.579
O 0.843 0.027 0.077
O 0.308 0.840 0.259
O 0.640 0.124 0.421
O 0.692 0.160 0.741
O 0.798 0.971 0.695
O 0.844 0.310 0.634
O 0.840 0.532 0.741
O 0.844 0.534 0.134
O 0.202 0.029 0.305
O 0.307 0.843 0.978
O 0.798 0.826 0.195
O 0.160 0.468 0.259
O 0.310 0.844 0.866
O 0.532 0.692 0.259
O 0.157 0.693 0.478
O 0.484 0.360 0.421
O 0.174 0.202 0.695
O 0.156 0.690 0.366
O 0.876 0.360 0.921
O 0.027 0.843 0.423
O 0.693 0.157 0.022
O 0.174 0.971 0.195
O 0.971 0.798 0.805
O 0.516 0.640 0.579
O 0.692 0.532 0.241
O 0.693 0.536 0.522
O 0.690 0.156 0.134
O 0.843 0.816 0.577
O 0.029 0.202 0.195
O 0.843 0.536 0.022
O 0.816 0.973 0.423
O 0.307 0.464 0.478
O 0.308 0.468 0.759
O 0.466 0.156 0.634
O 0.027 0.184 0.923
O 0.468 0.160 0.241
O 0.843 0.307 0.522
O 0.534 0.690 0.866
O 0.466 0.310 0.134
O 0.310 0.466 0.366
O 0.971 0.174 0.305
O 0.826 0.798 0.305
O 0.157 0.464 0.978
O 0.876 0.516 0.421
O 0.973 0.157 0.577
O 0.826 0.029 0.805
O 0.534 0.844 0.366
O 0.160 0.692 0.759
O 0.840 0.308 0.241
O 0.464 0.157 0.522
O 0.532 0.840 0.759
O 0.360 0.876 0.579
Zr 0.667 0.333 0.468
Zr 0.667 0.333 0.688
Zr 0.333 0.667 0.032
Zr 0.000 0.000 0.148
Zr 0.333 0.667 0.532
Zr 0.333 0.667 0.812
Zr 0.333 0.667 0.312
Zr 0.667 0.333 0.968
Zr 0.667 0.333 0.188
Zr 0.000 0.000 0.852
Zr 0.000 0.000 0.352
Zr 0.000 0.000 0.648
Y 0.000 0.000 0.000
Y 0.000 0.000 0.500